1.
AcScGe2Pd2 GGA-PBE optimized geometry; electronic total energy = -5.95 eV/atom; space-group type = P-3m1 (164); spin magnetization = 0.0 μB per formula unit; D(E_F) = 0.51 states/eV per atom; formation energy from the elements = -0.935 eV per atom
1.0
-1.079 -4.120 1.282
2.359 2.625 2.706
-6.238 2.556 2.959
Ac Sc Ge Pd
1 1 2 2
direct
0.000 0.000 0.000 Ac
0.000 0.000 0.500 Sc
0.667 0.333 0.706 Ge
0.333 0.667 0.294 Ge
0.667 0.333 0.324 Pd
0.333 0.667 0.676 Pd

---

2.
Ac2ScGe4Pd3 GGA-PBE optimized geometry; electronic total energy = -5.70 eV/atom; space-group type = P-4m2 (115); spin magnetization = 0.0 μB per formula unit; D(E_F) = 0.48 states/eV per atom; formation energy from the elements = -0.837 eV per atom
1.0
-0.058 -4.262 1.073
3.381 -0.729 -2.713
7.154 2.010 8.376
Ac Sc Ge Pd
2 1 4 3
direct
0.500 0.000 0.237 Ac
0.000 0.500 0.763 Ac
0.500 0.500 0.500 Sc
0.500 0.500 0.000 Ge
0.000 0.000 0.000 Ge
0.500 0.000 0.646 Ge
0.000 0.500 0.354 Ge
0.000 0.000 0.500 Pd
0.500 0.000 0.879 Pd
0.000 0.500 0.121 Pd

---

3.
Ac2ScGe3Pd4 GGA-PBE optimized geometry; electronic total energy = -5.77 eV/atom; space-group type = P-4m2 (115); spin magnetization = 0.0 μB per formula unit; D(E_F) = 0.65 states/eV per atom; formation energy from the elements = -0.849 eV per atom
1.0
-0.953 -2.706 -3.386
3.675 1.335 -2.100
5.594 -7.920 4.756
Ac Sc Ge Pd
2 1 3 4
direct
0.500 0.000 0.236 Ac
0.000 0.500 0.764 Ac
0.500 0.500 0.500 Sc
0.000 0.000 0.500 Ge
0.500 0.000 0.878 Ge
0.000 0.500 0.122 Ge
0.500 0.500 0.000 Pd
0.000 0.000 0.000 Pd
0.500 0.000 0.642 Pd
0.000 0.500 0.358 Pd

---

4.
AcScGePd GGA-PBE optimized geometry; electronic total energy = -5.65 eV/atom; space-group type = F-43m (216); spin magnetization = 0.0 μB per formula unit; D(E_F) = 0.56 states/eV per atom; formation energy from the elements = -0.590 eV per atom
1.0
-2.976 3.529 2.267
-4.511 -1.374 2.052
-0.597 -0.037 5.108
Sc Ac Ge Pd
1 1 1 1
direct
0.750 0.750 0.750 Sc
0.250 0.250 0.250 Ac
0.000 0.000 0.000 Ge
0.500 0.500 0.500 Pd